TlCr2Ir | PBE | optimized geometry

Cell: 4.1770 4.1770 3.7581 Å, 90.00 90.00 90.00°
Space group P4/mmm (No. 123)
Unique sites:
Tl 0.0000 0.0000 0.0000
Cr 0.0000 0.5000 0.5000
Ir 0.5000 0.5000 0.0000

## Properties
- Energy relative to the elements: 2.11 eV/f.u.
- Offset from the most stable computed form: 154 meV per atom
- Final energy: -7.0901 eV per atom

---

Rb2OsRuI6 | PBE | optimized geometry

Cell: 7.9220 7.9220 11.3310 Å, 90.00 90.00 90.00°
Space group I4/mmm (No. 139)
Unique sites:
Rb 0.0000 0.5000 0.2500
Os 0.0000 0.0000 0.0000
Ru 0.0000 0.0000 0.5000
I 0.0000 0.0000 0.2451
I 0.2468 0.2468 0.0000

## Properties
- Final energy: -3.3554 eV per atom
- Uncorrected formation energy: -0.181 eV/atom

---

AgHgIr2 | PBE | optimized geometry

Cell: 2.8103 3.6625 6.8455 Å, 90.00 90.24 90.00°
Space group Pm (No. 6)
Unique sites:
Ag 0.0000 0.0000 0.0000
Hg 0.5014 0.5000 0.2805
Ir 0.4990 0.5000 0.7379
Ir 0.9975 0.0000 0.5657

## Properties
- Energy relative to the elements: 1.42 eV/f.u.
- Final energy: -4.8648 eV per atom

---

NiSbPdW2 | PBE | optimized geometry

Cell: 4.4950 4.4950 4.6789 Å, 90.00 90.00 90.00°
Space group P4/mmm (No. 123)
Unique sites:
Ni 0.0000 0.0000 0.0000
Sb 0.5000 0.5000 0.5000
Pd 0.0000 0.0000 0.5000
W 0.0000 0.5000 0.0000

## Properties
- Final energy: -6.9695 eV per atom
- Uncorrected formation energy: 1.231 eV/atom